# Th2TiCo9

A geometry-optimized Th2TiCo9 structure (PBE, Alexandria).

abc: 4.8455 4.8455 8.8601
angles: 74.13 74.13 60.00
Last column: nearest neighbours and their distance in Å.
Element x y z (fractional)
1 Co 0.0790 0.5757 0.7696  7 Co 2.39-2.66
2 Co 0.9210 0.4243 0.2304  7 Co 2.39-2.66
3 Co 0.5000 0.5000 0.5000  6 Co 2.66, 6 Th 2.91
4 Th 0.1348 0.1348 0.5957  9 Co 2.83-2.91
5 Co 0.4243 0.9210 0.2304  7 Co 2.39-2.66
6 Co 0.3330 0.3330 0.0011  6 Co 2.39
7 Co 0.5757 0.5757 0.7696  7 Co 2.39-2.66
8 Co 0.6670 0.6670 0.9989  6 Co 2.39
9 Co 0.4243 0.4243 0.2304  7 Co 2.39-2.66
10 Co 0.5757 0.0790 0.7696  7 Co 2.39-2.66
11 Th 0.8652 0.8652 0.4043  9 Co 2.83-2.91
12 Ti 0.0000 0.0000 0.0000  18 Co 2.80-3.10

The calculation puts the volume at 170.94 Å³ per cell. The total DFT energy (no corrections) comes out at -7.32 eV/atom. The density of states at the Fermi level is 1.2615 states/eV/atom. The crystal system is trigonal. The value obtained for the size of the total moment is 7.38 Bohr magnetons per cell.